Entry 1:
Computed, not measured: ZrInAg2 after structural relaxation at the PBE-GGA level of DFT.

Cell lengths 7.772, 7.772, 6.239 Å; angles 51.47, 51.47, 90.00 degrees
Positions (direct):
In 0.000 0.000 0.000
Zr 0.500 0.500 0.000
Ag 0.375 0.366 0.750
Zr 0.250 0.750 0.500
Ag 0.116 0.625 0.250
Ag 0.875 0.884 0.750
In 0.750 0.250 0.500
Ag 0.634 0.125 0.250

Results
D(E_F) in states/eV/cell: 10.3
Energy relative to the elements in meV per atom: 269


Entry 2:
Computed, not measured: SrH3Au after structural relaxation at the PBE-GGA level of DFT.

Cell lengths 6.246, 6.246, 6.246 Å; angles 52.54, 52.54, 52.54 degrees
Positions (direct):
Au 0.047 0.047 0.047
Au 0.547 0.547 0.547
H 0.735 0.195 0.736
H 0.235 0.236 0.695
H 0.195 0.736 0.735
Sr 0.759 0.759 0.759
Sr 0.259 0.259 0.259
H 0.736 0.735 0.195
H 0.695 0.235 0.236
H 0.236 0.695 0.235

Results
Energy above the most stable polymorph in this dataset in kcal/mol of atoms: 0.000


Copy entry 1 word for word.
Computed, not measured: ZrInAg2 after structural relaxation at the PBE-GGA level of DFT.

Cell lengths 7.772, 7.772, 6.239 Å; angles 51.47, 51.47, 90.00 degrees
Positions (direct):
In 0.000 0.000 0.000
Zr 0.500 0.500 0.000
Ag 0.375 0.366 0.750
Zr 0.250 0.750 0.500
Ag 0.116 0.625 0.250
Ag 0.875 0.884 0.750
In 0.750 0.250 0.500
Ag 0.634 0.125 0.250

Results
D(E_F) in states/eV/cell: 10.3
Energy relative to the elements in meV per atom: 269


Please write out number 1 again, unchanged.
Computed, not measured: ZrInAg2 after structural relaxation at the PBE-GGA level of DFT.

Cell lengths 7.772, 7.772, 6.239 Å; angles 51.47, 51.47, 90.00 degrees
Positions (direct):
In 0.000 0.000 0.000
Zr 0.500 0.500 0.000
Ag 0.375 0.366 0.750
Zr 0.250 0.750 0.500
Ag 0.116 0.625 0.250
Ag 0.875 0.884 0.750
In 0.750 0.250 0.500
Ag 0.634 0.125 0.250

Results
D(E_F) in states/eV/cell: 10.3
Energy relative to the elements in meV per atom: 269


What did the second record say?
Computed, not measured: SrH3Au after structural relaxation at the PBE-GGA level of DFT.

Cell lengths 6.246, 6.246, 6.246 Å; angles 52.54, 52.54, 52.54 degrees
Positions (direct):
Au 0.047 0.047 0.047
Au 0.547 0.547 0.547
H 0.735 0.195 0.736
H 0.235 0.236 0.695
H 0.195 0.736 0.735
Sr 0.759 0.759 0.759
Sr 0.259 0.259 0.259
H 0.736 0.735 0.195
H 0.695 0.235 0.236
H 0.236 0.695 0.235

Results
Energy above the most stable polymorph in this dataset in kcal/mol of atoms: 0.000